Record 1
# NiIr2Ru (PBE-GGA, optimized geometry)
# * relative energy among the computed polymorphs: 67 meV/atom
# * formation enthalpy at 0 K: 0.056 eV per atom
data_NiIr2Ru
_chemical_formula_sum 'Ni3 Ir6 Ru3'
_symmetry_space_group_name_H-M 'R -3 m'
_symmetry_Int_Tables_number 166
_symmetry_space_group_name_Hall '-R 3 2"'
_cell_length_a 2.7122
_cell_length_b 2.7122
_cell_length_c 25.7686
_cell_angle_alpha 90.00
_cell_angle_beta 90.00
_cell_angle_gamma 120.00
loop_
_atom_site_label
_atom_site_type_symbol
_atom_site_fract_x
_atom_site_fract_y
_atom_site_fract_z
Ni1 Ni 0.0000 0.0000 0.0000
Ir1 Ir 0.0000 0.0000 0.2516
Ru1 Ru 0.0000 0.0000 0.5000

Record 2
# Y2GeBr (PBE-GGA, optimized geometry)
# * relative energy among the computed polymorphs: 0 meV/atom
# * formation energy without anion corrections: -1.0968 eV/atom
data_Y2GeBr
_chemical_formula_sum 'Y6 Ge3 Br3'
_symmetry_space_group_name_H-M 'R -3 m'
_symmetry_Int_Tables_number 166
_symmetry_space_group_name_Hall '-R 3 2"'
_cell_length_a 4.2059
_cell_length_b 4.2059
_cell_length_c 20.9836
_cell_angle_alpha 90.00
_cell_angle_beta 90.00
_cell_angle_gamma 120.00
loop_
_atom_site_label
_atom_site_type_symbol
_atom_site_fract_x
_atom_site_fract_y
_atom_site_fract_z
Y1 Y 0.0000 0.0000 0.2361
Ge1 Ge 0.0000 0.0000 0.5000
Br1 Br 0.0000 0.0000 0.0000

Record 3
# SiTeMo (PBE-GGA, optimized geometry)
# * relative energy among the computed polymorphs: 0 meV/atom
# * formation energy without anion corrections: 0.0809 eV/atom
data_SiTeMo
_chemical_formula_sum 'Si1 Te1 Mo1'
_symmetry_space_group_name_H-M 'P 3 m 1'
_symmetry_Int_Tables_number 156
_cell_length_a 3.5485
_cell_length_b 3.5485
_cell_length_c 5.8627
_cell_angle_alpha 90.00
_cell_angle_beta 90.00
_cell_angle_gamma 120.00
loop_
_symmetry_equiv_pos_as_xyz
'x,y,z'
'-y,x-y,z'
'-x+y,-x,z'
'-y,-x,z'
'-x+y,y,z'
'x,x-y,z'
loop_
_atom_site_label
_atom_site_type_symbol
_atom_site_fract_x
_atom_site_fract_y
_atom_site_fract_z
Si1 Si 0.0000 0.0000 0.0000
Te1 Te 0.0000 0.0000 0.4557
Mo1 Mo 0.3333 0.6667 0.7588

Record 4
# CsCuB2 (PBE-GGA, optimized geometry)
# * formation enthalpy at 0 K: 2.286 eV per atom
data_CsCuB2
_chemical_formula_sum 'Cs4 Cu4 B8'
_symmetry_space_group_name_H-M 'F m -3 m'
_symmetry_Int_Tables_number 225
_symmetry_space_group_name_Hall '-F 4 2 3'
_cell_length_a 6.655
_cell_length_b 6.655
_cell_length_c 6.655
_cell_angle_alpha 90.00
_cell_angle_beta 90.00
_cell_angle_gamma 90.00
loop_
_atom_site_label
_atom_site_type_symbol
_atom_site_fract_x
_atom_site_fract_y
_atom_site_fract_z
Cs1 Cs 0.000 0.000 0.000
Cu1 Cu 0.000 0.000 0.500
B1 B 0.250 0.250 0.250